(1)
Material: ZnRuN2O
Method: DFT, PBE
State: optimized geometry

The structure in CIF format:
```
data_ZnRuN2O
_symmetry_space_group_name_H-M 'P 1'
_symmetry_Int_Tables_number 1
_cell_length_a 3.846
_cell_length_b 3.846
_cell_length_c 3.750
_cell_angle_alpha 90.00
_cell_angle_beta 90.00
_cell_angle_gamma 90.00
loop_
_symmetry_equiv_pos_as_xyz
'x,y,z'
loop_
_atom_site_label
_atom_site_fract_x
_atom_site_fract_y
_atom_site_fract_z
Zn1 0.000 0.000 0.000
Ru1 0.500 0.500 0.500
N1 0.000 0.500 0.000
N2 0.500 0.000 0.000
O1 0.000 0.000 0.500
```

- density (g/cm3) = 6.30
- density of states at the Fermi level (states/eV/atom) = 1.190
- total magnetization (μB/cell) = 1.82
- uncorrected formation energy (meV/atom) = 1613.7


(2)
Material: AcLa4Nd3Te8
Method: DFT, PBE
State: optimized geometry

The structure in CIF format:
```
data_AcLa4Nd3Te8
_symmetry_space_group_name_H-M 'P 1'
_symmetry_Int_Tables_number 1
_cell_length_a 9.132
_cell_length_b 9.132
_cell_length_c 9.132
_cell_angle_alpha 60.20
_cell_angle_beta 60.20
_cell_angle_gamma 60.20
loop_
_symmetry_equiv_pos_as_xyz
'x,y,z'
loop_
_atom_site_label
_atom_site_fract_x
_atom_site_fract_y
_atom_site_fract_z
Ac1 0.000 0.000 0.000
La1 0.000 0.000 0.500
La2 0.000 0.500 0.000
La3 0.500 0.000 0.000
La4 0.500 0.500 0.500
Nd1 0.000 0.500 0.500
Nd2 0.500 0.000 0.500
Nd3 0.500 0.500 0.000
Te1 0.252 0.252 0.252
Te2 0.253 0.253 0.743
Te3 0.253 0.743 0.253
Te4 0.257 0.747 0.747
Te5 0.743 0.253 0.253
Te6 0.747 0.257 0.747
Te7 0.747 0.747 0.257
Te8 0.748 0.748 0.748
```

- density (g/cm3) = 6.86
- density of states at the Fermi level (states/eV/atom) = 0.784
- total magnetization (μB/cell) = 0.00
- uncorrected formation energy (meV/atom) = -1512.5


(3)
Material: KHf2AlGe
Method: DFT, PBE
State: optimized geometry

The structure in CIF format:
```
data_KHf2AlGe
_symmetry_space_group_name_H-M 'P 1'
_symmetry_Int_Tables_number 1
_cell_length_a 5.174
_cell_length_b 5.174
_cell_length_c 4.974
_cell_angle_alpha 90.00
_cell_angle_beta 90.00
_cell_angle_gamma 90.00
loop_
_symmetry_equiv_pos_as_xyz
'x,y,z'
loop_
_atom_site_label
_atom_site_fract_x
_atom_site_fract_y
_atom_site_fract_z
K1 0.000 0.000 0.000
Hf1 0.000 0.500 0.500
Hf2 0.500 0.000 0.500
Al1 0.500 0.500 0.000
Ge1 0.500 0.500 0.500
```

- density (g/cm3) = 6.18
- density of states at the Fermi level (states/eV/atom) = 1.302
- total magnetization (μB/cell) = 0.00
- formation energy from the elements (eV per atom) = 0.7397


(4)
Material: CsTa3O
Method: DFT, PBE
State: optimized geometry

The structure in CIF format:
```
data_CsTa3O
_symmetry_space_group_name_H-M 'P 1'
_symmetry_Int_Tables_number 1
_cell_length_a 4.503
_cell_length_b 4.503
_cell_length_c 4.503
_cell_angle_alpha 90.00
_cell_angle_beta 90.00
_cell_angle_gamma 90.00
loop_
_symmetry_equiv_pos_as_xyz
'x,y,z'
loop_
_atom_site_label
_atom_site_fract_x
_atom_site_fract_y
_atom_site_fract_z
Cs1 0.000 0.000 0.000
Ta1 0.000 0.500 0.500
Ta2 0.500 0.000 0.500
Ta3 0.500 0.500 0.000
O1 0.500 0.500 0.500
```

- density (g/cm3) = 12.58
- density of states at the Fermi level (states/eV/atom) = 1.076
- total magnetization (μB/cell) = 0.00
- uncorrected formation energy (meV/atom) = 876.8


(5)
Material: PmNbBi2
Method: DFT, PBE
State: optimized geometry

The structure in CIF format:
```
data_PmNbBi2
_symmetry_space_group_name_H-M 'P 1'
_symmetry_Int_Tables_number 1
_cell_length_a 11.634
_cell_length_b 11.634
_cell_length_c 11.634
_cell_angle_alpha 16.56
_cell_angle_beta 16.56
_cell_angle_gamma 16.56
loop_
_symmetry_equiv_pos_as_xyz
'x,y,z'
loop_
_atom_site_label
_atom_site_fract_x
_atom_site_fract_y
_atom_site_fract_z
Pm1 0.000 0.000 0.000
Nb1 0.500 0.500 0.500
Bi1 0.415 0.415 0.415
Bi2 0.585 0.585 0.585
```

- density (g/cm3) = 9.76
- density of states at the Fermi level (states/eV/atom) = 1.205
- total magnetization (μB/cell) = 0.00
- formation energy from the elements (eV per atom) = 0.3504


(6)
Material: TbAgS2
Method: DFT, PBE
State: optimized geometry

The structure in CIF format:
```
data_TbAgS2
_symmetry_space_group_name_H-M 'P 1'
_symmetry_Int_Tables_number 1
_cell_length_a 7.033
_cell_length_b 7.033
_cell_length_c 7.033
_cell_angle_alpha 32.03
_cell_angle_beta 32.03
_cell_angle_gamma 32.03
loop_
_symmetry_equiv_pos_as_xyz
'x,y,z'
loop_
_atom_site_label
_atom_site_fract_x
_atom_site_fract_y
_atom_site_fract_z
Tb1 0.000 0.000 0.000
Ag1 0.832 0.832 0.832
S1 0.251 0.251 0.251
S2 0.416 0.416 0.416
```

- density (g/cm3) = 6.32
- total magnetization (μB/cell) = 0.00
- uncorrected formation energy (meV/atom) = -1170.1


(7)
Material: Mg5Ti
Method: DFT, PBE
State: optimized geometry

The structure in CIF format:
```
data_Mg5Ti
_symmetry_space_group_name_H-M 'P 1'
_symmetry_Int_Tables_number 1
_cell_length_a 3.103
_cell_length_b 3.103
_cell_length_c 15.448
_cell_angle_alpha 90.00
_cell_angle_beta 90.00
_cell_angle_gamma 120.00
loop_
_symmetry_equiv_pos_as_xyz
'x,y,z'
loop_
_atom_site_label
_atom_site_fract_x
_atom_site_fract_y
_atom_site_fract_z
Mg1 0.000 0.000 0.000
Mg2 0.000 0.000 0.341
Mg3 0.000 0.000 0.659
Mg4 0.333 0.667 0.171
Mg5 0.333 0.667 0.829
Ti1 0.333 0.667 0.500
```

- density (g/cm3) = 2.18
- density of states at the Fermi level (states/eV/atom) = 0.614
- total magnetization (μB/cell) = 0.00
- formation energy from the elements (eV per atom) = 0.0685


(8)
Material: HgSb2S4
Method: DFT, PBE
State: optimized geometry

The structure in CIF format:
```
data_HgSb2S4
_symmetry_space_group_name_H-M 'P 1'
_symmetry_Int_Tables_number 1
_cell_length_a 8.602
_cell_length_b 8.602
_cell_length_c 8.268
_cell_angle_alpha 90.00
_cell_angle_beta 90.00
_cell_angle_gamma 127.91
loop_
_symmetry_equiv_pos_as_xyz
'x,y,z'
loop_
_atom_site_label
_atom_site_fract_x
_atom_site_fract_y
_atom_site_fract_z
Hg1 0.000 0.000 0.250
Hg2 0.000 0.000 0.750
Sb1 0.243 0.745 0.000
Sb2 0.255 0.757 0.500
Sb3 0.745 0.243 0.500
Sb4 0.757 0.255 0.000
S1 0.000 0.195 0.500
S2 0.000 0.500 0.214
S3 0.000 0.500 0.786
S4 0.000 0.805 0.500
S5 0.195 0.000 0.000
S6 0.500 0.000 0.286
S7 0.500 0.000 0.714
S8 0.805 0.000 0.000
```

- density (g/cm3) = 3.94
- density of states at the Fermi level (states/eV/atom) = 0.002
- total magnetization (μB/cell) = 0.00
- uncorrected formation energy (meV/atom) = -82.2